Arrangement i

## PmEr4Th (PBE)

Data for a geometry-optimized PmEr4Th structure.

a b c (Å): 6.581 9.023 8.469
angles (deg): 112.20 100.15 113.49
Positions (direct):
Pm: 0.337 0.587 0.174
Pm: 0.663 0.413 0.826
Er: 0.368 0.900 0.615
Er: 0.958 0.835 0.262
Er: 0.253 0.285 0.385
Er: 0.197 0.573 0.738
Er: 0.632 0.100 0.385
Er: 0.747 0.715 0.615
Er: 0.042 0.165 0.738
Er: 0.803 0.427 0.262
Th: 0.751 0.001 0.003
Th: 0.249 0.999 0.997

Summary:
DOS(E_F) = 19.989 states/eV per cell

***

Arrangement ii

## PmEr4Th (PBE)

Data for a geometry-optimized PmEr4Th structure.

a b c (Å): 3.549 9.373 10.643
angles (deg): 145.10 70.54 100.91
Positions (direct):
Pm: 0.500 0.000 0.500
Er: 0.829 0.666 0.504
Er: 0.171 0.334 0.496
Er: 0.339 0.666 0.995
Er: 0.661 0.334 0.005
Th: 0.000 0.000 0.000

Summary:
DOS(E_F) = 7.372 states/eV per cell

***

Q: Which of them is the most stable? A: arrangement ii.

***

Arrangement i

## Pm7Er3Th (PBE)

Data for a geometry-optimized Pm7Er3Th structure.

a b c (Å): 8.661 7.180 7.180
angles (deg): 120.00 90.00 90.00
Positions (direct):
Pm: 0.116 0.170 0.830
Pm: 0.116 0.170 0.339
Pm: 0.115 0.667 0.333
Pm: 0.455 0.832 0.168
Pm: 0.455 0.335 0.168
Pm: 0.455 0.832 0.665
Pm: 0.116 0.661 0.830
Er: 0.779 0.498 0.502
Er: 0.779 0.498 0.995
Er: 0.779 0.005 0.502
Th: 0.451 0.333 0.667

Summary:
DOS(E_F) = 18.177 states/eV per cell

***

Arrangement ii

## Pm7Er3Th (PBE)

Data for a geometry-optimized Pm7Er3Th structure.

a b c (Å): 10.188 10.154 11.173
angles (deg): 90.00 90.00 139.64
Positions (direct):
Pm: 0.340 0.164 0.250
Pm: 0.839 0.662 0.750
Pm: 0.094 0.413 0.544
Pm: 0.094 0.413 0.956
Pm: 0.588 0.916 0.015
Pm: 0.588 0.916 0.485
Pm: 0.302 0.200 0.750
Pm: 0.698 0.800 0.250
Pm: 0.412 0.084 0.985
Pm: 0.412 0.084 0.515
Pm: 0.906 0.587 0.044
Pm: 0.906 0.587 0.456
Pm: 0.161 0.338 0.250
Pm: 0.660 0.836 0.750
Er: 0.246 0.767 0.750
Er: 0.000 0.000 0.000
Er: 0.000 0.000 0.500
Er: 0.271 0.751 0.250
Er: 0.729 0.249 0.750
Er: 0.754 0.233 0.250
Th: 0.500 0.500 0.000
Th: 0.500 0.500 0.500

Summary:
DOS(E_F) = 34.479 states/eV per cell

***

Q: Which of them is the most stable? A: arrangement ii.

***

Arrangement i

## Pm3ErTh (PBE)

Data for a geometry-optimized Pm3ErTh structure.

a b c (Å): 5.480 6.279 11.053
angles (deg): 89.96 89.91 64.13
Positions (direct):
Pm: 0.000 0.000 0.331
Pm: 0.000 0.000 0.669
Pm: 0.347 0.304 0.196
Pm: 0.349 0.304 0.804
Pm: 0.653 0.696 0.804
Pm: 0.651 0.696 0.196
Er: 0.343 0.313 0.500
Er: 0.657 0.687 0.500
Th: 0.137 0.727 0.000
Th: 0.863 0.273 0.000

Summary:
DOS(E_F) = 13.924 states/eV per cell

***

Arrangement ii

## Pm3ErTh (PBE)

Data for a geometry-optimized Pm3ErTh structure.

a b c (Å): 3.424 8.876 8.876
angles (deg): 137.32 90.00 90.00
Positions (direct):
Pm: 0.500 0.151 0.374
Pm: 0.500 0.626 0.849
Pm: 0.000 0.224 0.776
Er: 0.500 0.053 0.947
Th: 0.000 0.574 0.426

Summary:
DOS(E_F) = 8.488 states/eV per cell

***

Q: Which of them is the most stable? A: arrangement i.

***

Arrangement i

## Pm2ErTh2 (PBE)

Data for a geometry-optimized Pm2ErTh2 structure.

a b c (Å): 3.595 3.595 12.979
angles (deg): 97.96 97.96 90.00
Positions (direct):
Pm: 0.602 0.602 0.204
Pm: 0.398 0.398 0.796
Er: 0.000 0.000 0.000
Th: 0.798 0.798 0.596
Th: 0.202 0.202 0.404

Summary:
DOS(E_F) = 7.724 states/eV per cell

***

Arrangement ii

## Pm2ErTh2 (PBE)

Data for a geometry-optimized Pm2ErTh2 structure.

a b c (Å): 9.565 9.565 3.661
angles (deg): 90.00 90.00 90.00
Positions (direct):
Pm: 0.129 0.629 0.000
Pm: 0.629 0.871 0.000
Pm: 0.871 0.371 0.000
Pm: 0.371 0.129 0.000
Er: 0.000 0.000 0.000
Er: 0.500 0.500 0.000
Th: 0.329 0.829 0.500
Th: 0.829 0.671 0.500
Th: 0.671 0.171 0.500
Th: 0.171 0.329 0.500

Summary:
DOS(E_F) = 12.715 states/eV per cell

***

Q: Which of them is the most stable? A: arrangement i.

***

Arrangement i

## PmErTmTh (PBE)

Data for a geometry-optimized PmErTmTh structure.

a b c (Å): 5.663 5.663 5.663
angles (deg): 60.00 60.00 60.00
Positions (direct):
Tm: 0.250 0.250 0.250
Pm: 0.500 0.500 0.500
Th: 0.000 0.000 0.000
Er: 0.750 0.750 0.750

Summary:
DOS(E_F) = 8.293 states/eV per cell

***

Arrangement ii

## PmErTmTh (PBE)

Data for a geometry-optimized PmErTmTh structure.

a b c (Å): 3.580 3.580 11.642
angles (deg): 90.00 98.85 119.99
Positions (direct):
Pm: 0.970 0.383 0.368
Er: 0.474 0.135 0.624
Tm: 0.132 0.964 0.111
Th: 0.302 0.549 0.867

Summary:
DOS(E_F) = 6.246 states/eV per cell

***

Q: Which of them is the most stable? A: arrangement ii.

***

Arrangement i

## PmEr2Ti (PBE)

Data for a geometry-optimized PmEr2Ti structure.

a b c (Å): 3.374 3.374 9.751
angles (deg): 90.00 90.00 90.00
Positions (direct):
Pm: 0.500 0.500 0.500
Ti: 0.500 0.500 0.000
Er: 0.000 0.000 0.787
Er: 0.000 0.000 0.213

Summary:
DOS(E_F) = 6.247 states/eV per cell

***

Arrangement ii

## PmEr2Ti (PBE)

Data for a geometry-optimized PmEr2Ti structure.

a b c (Å): 3.354 3.354 11.907
angles (deg): 81.90 81.90 60.00
Site moments in Bohr magnetons follow the coordinates.
Positions (direct):
Pm: 0.500 0.500 0.500  -0.01
Ti: 0.000 0.000 0.000  1.32
Er: 0.083 0.083 0.752  0.12
Er: 0.917 0.917 0.248  0.12

Summary:
DOS(E_F) = 5.238 states/eV per cell

***

Q: Which of them is the most stable? A: arrangement i.